DFT (PBE-GGA) results for RbZnGa2 after structural relaxation.

* V: 27.2 Å³ per atom
* magnetic moment: 0.000 μB/atom
* DOS(E_F): 3.06 states/eV/cell
* ΔE_f: -0.06 eV per atom
* raw total energy: -2.137 eV per atom
* SG: Cmcm (63)
* crystal system: orthorhombic
* density: 4.4 Mg/m³

abc: 7.104 7.104 7.463
angles: 90.00 90.00 144.66
Element x y z (fractional)
Rb  0.035  0.965  0.750
Rb  0.965  0.035  0.250
Zn  0.241  0.759  0.250
Zn  0.759  0.241  0.750
Ga  0.317  0.683  0.568
Ga  0.317  0.683  0.932
Ga  0.683  0.317  0.068
Ga  0.683  0.317  0.432